Rb3POs, relaxed, DFT PBE-GGA; crystal system = cubic; magnetization = 0.80 μB per atom; ΔH_f (0 K) = 1.40 eV per atom
1.0
6.3513 0.0000 0.0000
0.0000 6.3513 0.0000
0.0000 0.0000 6.3513
Rb P Os
3 1 1
direct
0.0000 0.0000 0.5000 Rb
0.0000 0.5000 0.0000 Rb
0.5000 0.0000 0.0000 Rb
0.5000 0.5000 0.5000 P
0.0000 0.0000 0.0000 Os

Rb2POsRu, relaxed, DFT PBE-GGA; crystal system = tetragonal; magnetization = 0.75 μB per atom; ΔH_f (0 K) = 1.58 eV per atom
1.0
6.6565 0.0000 0.0000
0.0000 6.6565 0.0000
0.0000 0.0000 4.5572
Rb P Os Ru
2 1 1 1
direct
0.0000 0.5000 0.0000 Rb
0.5000 0.0000 0.0000 Rb
0.0000 0.0000 0.5000 P
0.5000 0.5000 0.0000 Os
0.5000 0.5000 0.5000 Ru

RbPOs2Ru, relaxed, DFT PBE-GGA; crystal system = tetragonal; magnetization = 0.41 μB per atom; ΔH_f (0 K) = 3.98 eV per atom
1.0
4.7048 0.0000 0.0000
0.0000 4.7048 0.0000
0.0000 0.0000 4.8062
Rb P Os Ru
1 1 2 1
direct
0.0000 0.0000 0.0000 Rb
0.0000 0.0000 0.5000 P
0.0000 0.5000 0.0000 Os
0.5000 0.0000 0.0000 Os
0.5000 0.5000 0.5000 Ru